First-principles (PBE+U) data for a relaxed structure of LiCoAgO3, as listed in the Open Quantum Materials Database.

Cell lengths 11.610, 3.216, 6.878 Å; angles 90.00, 90.00, 90.00 degrees
Space group Pnma (No. 62)
One atom of each set of equivalent atoms:
Li 0.181 0.250 0.087
Co 0.048 0.750 0.835
Ag 0.095 0.250 0.468
O 0.058 0.750 0.139
O 0.187 0.250 0.767
O 0.225 0.750 0.832

Results
**DFT total energy**: -4.533 eV/atom
**Total magnetization**: 0.439 μB per atom